# 1
A plane-wave DFT calculation with PBE-GGA was carried out for crystalline ScGa at its relaxed geometry.

Unit cell a=5.5291 b=5.5291 c=3.8213 alpha=90.00 beta=90.00 gamma=136.33
Closest atoms and distances in Å follow each position.
Fractional positions:
Sc: 0.1381 0.8619 0.7500  7 Ga 2.86-3.07
Sc: 0.8619 0.1381 0.2500  7 Ga 2.86-3.07
Ga: 0.4165 0.5835 0.7500  2 Ga 2.57, 5 Sc 2.86
Ga: 0.5835 0.4165 0.2500  2 Ga 2.57, 5 Sc 2.86

Values from the calculation:
The value obtained for the total energy is -21.1 eV/cell. The calculation puts the calculated density at 4.722 g/cm³.


# 2
A plane-wave DFT calculation with PBE-GGA was carried out for crystalline ScGa at its relaxed geometry.

Unit cell a=7.9766 b=7.9766 c=7.9766 alpha=153.13 beta=148.76 gamma=41.66
Closest atoms and distances in Å follow each position.
Fractional positions:
Sc: 0.0000 0.0000 0.0000  8 Ga 2.84-2.93
Sc: 0.1776 0.6776 0.5000  5 Ga 2.82-2.91
Sc: 0.8224 0.3224 0.5000  5 Ga 2.82-2.91
Ga: 0.3668 0.8668 0.5000  2 Ga 2.72, 7 Sc 2.82-2.93
Ga: 0.5000 0.5000 0.0000  4 Ga 2.72, 4 Sc 2.84
Ga: 0.6332 0.1332 0.5000  2 Ga 2.72, 7 Sc 2.82-2.93

Values from the calculation:
The value obtained for the total energy is -31.4 eV/cell. The calculation puts the calculated density at 4.814 g/cm³.


# 3
A plane-wave DFT calculation with PBE-GGA was carried out for crystalline ScGa at its relaxed geometry.

Unit cell a=5.4998 b=5.4998 c=5.5866 alpha=90.00 beta=90.00 gamma=90.00
Closest atoms and distances in Å follow each position.
Fractional positions:
Sc: 0.1916 0.1916 0.0000  6 Ga 2.77-2.91, 1 Sc 2.98
Sc: 0.3084 0.6916 0.5000  6 Ga 2.77-2.91, 1 Sc 2.98
Sc: 0.6916 0.3084 0.5000  6 Ga 2.77-2.91, 1 Sc 2.98
Sc: 0.8084 0.8084 0.0000  6 Ga 2.77-2.91, 1 Sc 2.98
Ga: 0.1792 0.1792 0.5000  6 Sc 2.77-2.91, 1 Ga 2.79
Ga: 0.3208 0.6792 0.0000  6 Sc 2.77-2.91, 1 Ga 2.79
Ga: 0.6792 0.3208 0.0000  6 Sc 2.77-2.91, 1 Ga 2.79
Ga: 0.8208 0.8208 0.5000  6 Sc 2.77-2.91, 1 Ga 2.79

Values from the calculation:
The value obtained for the total energy is -39.4 eV/cell. The calculation puts the calculated density at 4.508 g/cm³.


# 4
A plane-wave DFT calculation with PBE-GGA was carried out for crystalline Sc5GaSe8 at its relaxed geometry.

Unit cell a=8.0014 b=8.0014 c=8.0014 alpha=60.00 beta=60.00 gamma=60.00
Closest atoms and distances in Å follow each position.
Fractional positions:
Sc: 0.0000 0.0000 0.0000  4 Se 2.60
Sc: 0.1388 0.6204 0.6204  6 Se 2.68-2.80
Sc: 0.6204 0.1388 0.6204  6 Se 2.68-2.80
Sc: 0.6204 0.6204 0.1388  6 Se 2.68-2.80
Sc: 0.6204 0.6204 0.6204  6 Se 2.68-2.80
Ga: 0.2500 0.2500 0.2500  4 Se 2.63
Se: 0.3841 0.3841 0.3841  1 Ga 2.63, 3 Sc 2.68
Se: 0.3841 0.3841 0.8478  1 Ga 2.63, 3 Sc 2.68
Se: 0.3841 0.8478 0.3841  1 Ga 2.63, 3 Sc 2.68
Se: 0.3976 0.8675 0.8675  4 Sc 2.60-2.80
Se: 0.8478 0.3841 0.3841  1 Ga 2.63, 3 Sc 2.68
Se: 0.8675 0.3976 0.8675  4 Sc 2.60-2.80
Se: 0.8675 0.8675 0.3976  4 Sc 2.60-2.80
Se: 0.8675 0.8675 0.8675  4 Sc 2.60-2.80

Values from the calculation:
Its energy relative to the elements, uncorrected is -1.476 eV per atom. The value obtained for the total energy is -83.2 eV/cell. The calculation puts the calculated density at 4.246 g/cm³.


# 5
A plane-wave DFT calculation with PBE-GGA was carried out for crystalline Sc6GaSe5 at its relaxed geometry.

Unit cell a=6.7258 b=6.7258 c=6.7333 alpha=99.58 beta=99.58 gamma=119.91
Closest atoms and distances in Å follow each position.
Fractional positions:
Sc: 0.0805 0.4040 0.7431  1 Ga 2.67, 5 Se 2.75-2.81
Sc: 0.2418 0.2418 0.2568  1 Ga 2.67, 5 Se 2.75-2.83
Sc: 0.4040 0.0805 0.7431  1 Ga 2.67, 5 Se 2.75-2.81
Sc: 0.5960 0.9195 0.2569  1 Ga 2.67, 5 Se 2.75-2.81
Sc: 0.7582 0.7582 0.7432  1 Ga 2.67, 5 Se 2.75-2.83
Sc: 0.9195 0.5960 0.2569  1 Ga 2.67, 5 Se 2.75-2.81
Ga: 0.0000 0.0000 0.5000  6 Sc 2.67
Se: 0.1695 0.8305 0.0000  6 Sc 2.75-2.81
Se: 0.3338 0.6662 0.5000  6 Sc 2.75
Se: 0.5000 0.5000 0.0000  6 Sc 2.75-2.83
Se: 0.6662 0.3338 0.5000  6 Sc 2.75
Se: 0.8305 0.1695 0.0000  6 Sc 2.75-2.81

Values from the calculation:
Its energy relative to the elements, uncorrected is -1.454 eV per atom. The value obtained for the total energy is -75.9 eV/cell. The calculation puts the calculated density at 4.896 g/cm³.


# 6
A plane-wave DFT calculation with PBE-GGA was carried out for crystalline ScGaSe3 at its relaxed geometry.

Unit cell a=4.9269 b=4.9269 c=4.9269 alpha=90.00 beta=90.00 gamma=90.00
Closest atoms and distances in Å follow each position.
Fractional positions:
Sc: 0.0000 0.0000 0.0000  12 Se 3.48
Ga: 0.5000 0.5000 0.5000  6 Se 2.46
Se: 0.0000 0.5000 0.5000  2 Ga 2.46
Se: 0.5000 0.0000 0.5000  2 Ga 2.46
Se: 0.5000 0.5000 0.0000  2 Ga 2.46

Values from the calculation:
Its energy relative to the elements, uncorrected is -0.241 eV per atom. The energy above the most stable polymorph in this dataset comes out at 776 meV per atom. The value obtained for the total energy is -21.0 eV/cell. The calculation puts the calculated density at 4.881 g/cm³.


# 7
A plane-wave DFT calculation with PBE-GGA was carried out for crystalline ScGa3Se at its relaxed geometry.

Unit cell a=5.0303 b=5.0303 c=5.0303 alpha=90.00 beta=90.00 gamma=90.00
Closest atoms and distances in Å follow each position.
Fractional positions:
Sc: 0.0000 0.0000 0.0000  12 Ga 3.56
Ga: 0.0000 0.5000 0.5000  2 Se 2.52
Ga: 0.5000 0.0000 0.5000  2 Se 2.52
Ga: 0.5000 0.5000 0.0000  2 Se 2.52
Se: 0.5000 0.5000 0.5000  6 Ga 2.52

Values from the calculation:
Its energy relative to the elements, uncorrected is 0.411 eV per atom. The energy above the most stable polymorph in this dataset comes out at 0 meV per atom. The value obtained for the total energy is -16.8 eV/cell. The calculation puts the calculated density at 4.345 g/cm³.


# 8
A plane-wave DFT calculation with PBE-GGA was carried out for crystalline Sc2GaSe2 at its relaxed geometry.

Unit cell a=7.5191 b=7.5191 c=3.6068 alpha=90.00 beta=90.00 gamma=90.00
Closest atoms and distances in Å follow each position.
Fractional positions:
Sc: 0.1567 0.3433 0.0000  6 Se 2.76-2.91, 2 Ga 2.84
Sc: 0.3433 0.8433 0.0000  6 Se 2.76-2.91, 2 Ga 2.84
Sc: 0.6567 0.1567 0.0000  6 Se 2.76-2.91, 2 Ga 2.84
Sc: 0.8433 0.6567 0.0000  6 Se 2.76-2.91, 2 Ga 2.84
Ga: 0.0000 0.0000 0.0000  4 Sc 2.84
Ga: 0.5000 0.5000 0.0000  4 Sc 2.84
Se: 0.1468 0.6468 0.5000  6 Sc 2.76-2.91
Se: 0.3532 0.1468 0.5000  6 Sc 2.76-2.91
Se: 0.6468 0.8532 0.5000  6 Sc 2.76-2.91
Se: 0.8532 0.3532 0.5000  6 Sc 2.76-2.91

Values from the calculation:
Its energy relative to the elements, uncorrected is -1.003 eV per atom. The value obtained for the total energy is -55.3 eV/cell. The calculation puts the calculated density at 5.172 g/cm³.


# 9
A plane-wave DFT calculation with PBE-GGA was carried out for crystalline Sc7GaSe5 at its relaxed geometry.

Unit cell a=6.6383 b=6.6383 c=22.6682 alpha=90.00 beta=90.00 gamma=146.78
Closest atoms and distances in Å follow each position.
Fractional positions:
Sc: 0.0318 0.9682 0.7500  2 Se 2.64, 2 Ga 2.79
Sc: 0.1386 0.8614 0.0370  6 Se 2.65-2.72
Sc: 0.1386 0.8614 0.4630  6 Se 2.65-2.72
Sc: 0.3121 0.6879 0.6809  3 Se 2.69-2.72, 2 Ga 2.89
Sc: 0.3121 0.6879 0.8191  3 Se 2.69-2.72, 2 Ga 2.89
Sc: 0.4024 0.5976 0.1225  4 Se 2.71-2.72
Sc: 0.4024 0.5976 0.3775  4 Se 2.71-2.72
Sc: 0.5976 0.4024 0.6225  4 Se 2.71-2.72
Sc: 0.5976 0.4024 0.8775  4 Se 2.71-2.72
Sc: 0.6879 0.3121 0.1809  3 Se 2.69-2.72, 2 Ga 2.89
Sc: 0.6879 0.3121 0.3191  3 Se 2.69-2.72, 2 Ga 2.89
Sc: 0.8614 0.1386 0.5370  6 Se 2.65-2.72
Sc: 0.8614 0.1386 0.9630  6 Se 2.65-2.72
Sc: 0.9682 0.0318 0.2500  2 Se 2.64, 2 Ga 2.79
Ga: 0.3074 0.6926 0.2500  6 Sc 2.79-2.89
Ga: 0.6926 0.3074 0.7500  6 Sc 2.79-2.89
Se: 0.0506 0.9494 0.1431  6 Sc 2.64-2.72
Se: 0.0506 0.9494 0.3569  6 Sc 2.64-2.72
Se: 0.2225 0.7775 0.5732  6 Sc 2.69-2.72
Se: 0.2225 0.7775 0.9268  6 Sc 2.69-2.72
Se: 0.5000 0.5000 0.0000  6 Sc 2.72-3.04
Se: 0.5000 0.5000 0.5000  6 Sc 2.72-3.04
Se: 0.7775 0.2225 0.0732  6 Sc 2.69-2.72
Se: 0.7775 0.2225 0.4268  6 Sc 2.69-2.72
Se: 0.9494 0.0506 0.6431  6 Sc 2.64-2.72
Se: 0.9494 0.0506 0.8569  6 Sc 2.64-2.72

Values from the calculation:
Its energy relative to the elements, uncorrected is -1.336 eV per atom. The value obtained for the total energy is -164.3 eV/cell. The calculation puts the calculated density at 4.728 g/cm³.


# 10
A plane-wave DFT calculation with PBE-GGA was carried out for crystalline Sc4GaSe at its relaxed geometry.

Unit cell a=9.8179 b=9.8179 c=5.7538 alpha=90.00 beta=90.00 gamma=150.75
Closest atoms and distances in Å follow each position.
Fractional positions:
Sc: 0.0634 0.9366 0.7500  3 Se 2.67-2.89
Sc: 0.2102 0.7898 0.5069  5 Sc 2.80-3.12, 1 Se 2.93, 3 Ga 3.01-3.05
Sc: 0.2102 0.7898 0.9931  5 Sc 2.80-3.12, 1 Se 2.93, 3 Ga 3.01-3.05
Sc: 0.3721 0.6279 0.7500  2 Se 2.66, 2 Ga 2.91
Sc: 0.6279 0.3721 0.2500  2 Se 2.66, 2 Ga 2.91
Sc: 0.7898 0.2102 0.0069  5 Sc 2.80-3.12, 1 Se 2.93, 3 Ga 3.01-3.05
Sc: 0.7898 0.2102 0.4931  5 Sc 2.80-3.12, 1 Se 2.93, 3 Ga 3.01-3.05
Sc: 0.9366 0.0634 0.2500  3 Se 2.67-2.89
Ga: 0.3480 0.6520 0.2500  10 Sc 2.91-3.05
Ga: 0.6520 0.3480 0.7500  10 Sc 2.91-3.05
Se: 0.0772 0.9228 0.2500  7 Sc 2.66-2.93
Se: 0.9228 0.0772 0.7500  7 Sc 2.66-2.93

Values from the calculation:
Its energy relative to the elements, uncorrected is -0.651 eV per atom. The value obtained for the total energy is -71.5 eV/cell. The calculation puts the calculated density at 4.026 g/cm³.


# 11
A plane-wave DFT calculation with PBE-GGA was carried out for crystalline ScGaSe3 at its relaxed geometry.

Unit cell a=7.4561 b=10.5460 c=6.6304 alpha=90.00 beta=90.00 gamma=90.00
Closest atoms and distances in Å follow each position.
Fractional positions:
Sc: 0.0000 0.0000 0.0000  6 Se 2.65-2.79
Sc: 0.0000 0.5000 0.0000  6 Se 2.65-2.79
Sc: 0.5000 0.0000 0.5000  6 Se 2.65-2.79
Sc: 0.5000 0.5000 0.5000  6 Se 2.65-2.79
Ga: 0.1639 0.2500 0.4664  4 Se 2.39-2.65
Ga: 0.3361 0.7500 0.9664  4 Se 2.39-2.65
Ga: 0.6639 0.2500 0.0336  4 Se 2.39-2.65
Ga: 0.8361 0.7500 0.5336  4 Se 2.39-2.65
Se: 0.0063 0.2500 0.1385  2 Ga 2.47-2.65
Se: 0.1861 0.0605 0.6616  1 Ga 2.39, 1 Sc 2.65
Se: 0.1861 0.4395 0.6616  1 Ga 2.39, 1 Sc 2.65
Se: 0.3139 0.5605 0.1616  1 Ga 2.39, 1 Sc 2.65
Se: 0.3139 0.9395 0.1616  1 Ga 2.39, 1 Sc 2.65
Se: 0.4937 0.7500 0.6385  2 Ga 2.47-2.65
Se: 0.5063 0.2500 0.3615  2 Ga 2.47-2.65
Se: 0.6861 0.0605 0.8384  1 Ga 2.39, 1 Sc 2.65
Se: 0.6861 0.4395 0.8384  1 Ga 2.39, 1 Sc 2.65
Se: 0.8139 0.5605 0.3384  1 Ga 2.39, 1 Sc 2.65
Se: 0.8139 0.9395 0.3384  1 Ga 2.39, 1 Sc 2.65
Se: 0.9937 0.7500 0.8615  2 Ga 2.47-2.65

Values from the calculation:
Its energy relative to the elements, uncorrected is -1.017 eV per atom. The energy above the most stable polymorph in this dataset comes out at 0 meV per atom. The value obtained for the total energy is -99.6 eV/cell. The calculation puts the calculated density at 4.479 g/cm³.


> calculated density of number 11 (ScGaSe3)?

4.479 g/cm³


What did the seventh record say?
A plane-wave DFT calculation with PBE-GGA was carried out for crystalline ScGa3Se at its relaxed geometry.

Unit cell a=5.0303 b=5.0303 c=5.0303 alpha=90.00 beta=90.00 gamma=90.00
Closest atoms and distances in Å follow each position.
Fractional positions:
Sc: 0.0000 0.0000 0.0000  12 Ga 3.56
Ga: 0.0000 0.5000 0.5000  2 Se 2.52
Ga: 0.5000 0.0000 0.5000  2 Se 2.52
Ga: 0.5000 0.5000 0.0000  2 Se 2.52
Se: 0.5000 0.5000 0.5000  6 Ga 2.52

Values from the calculation:
Its energy relative to the elements, uncorrected is 0.411 eV per atom. The energy above the most stable polymorph in this dataset comes out at 0 meV per atom. The value obtained for the total energy is -16.8 eV/cell. The calculation puts the calculated density at 4.345 g/cm³.


> The highest calculated density belongs to which entry?

Sc2GaSe2